No. 1
A relaxed structure of ZnNiSeN2. Source: Alexandria, functional PBE.

Calculated values
Mass density = 5.4 g cm⁻³
Calculated volume = 71.6 Å³/cell
Energy relative to the lowest polymorph listed for this composition = 0 meV per atom
DFT total energy = -22.0 eV per cell
E_form (uncorrected) = 1.039 eV per atom
Magnetic moment = 1.96 μB/f.u.
Crystal system = tetragonal
Space-group type = P4/mmm, No. 123

Unit cell a=3.6545 b=3.6545 c=5.3643 alpha=90.00 beta=90.00 gamma=90.00
Last column: nearest neighbours and their distance in Å.
Fractional positions:
Zn  0.0000  0.0000  0.0000  4 Se 2.58
Ni  0.5000  0.5000  0.5000  4 N 1.83
Se  0.5000  0.5000  0.0000  4 Zn 2.58, 2 Ni 2.68
N  0.0000  0.5000  0.5000  2 Ni 1.83
N  0.5000  0.0000  0.5000  2 Ni 1.83

No. 2
A relaxed structure of ZnNiSeN2. Source: Alexandria, functional PBE.

Calculated values
Mass density = 4.8 g cm⁻³
Calculated volume = 80.1 Å³/cell
Energy relative to the lowest polymorph listed for this composition = 564 meV per atom
DFT total energy = -19.2 eV per cell
E_form (uncorrected) = 1.604 eV per atom
Magnetic moment = 4.06 μB/f.u.
Crystal system = tetragonal
Space-group type = P4/mmm, No. 123

Unit cell a=3.7387 b=3.7387 c=5.7306 alpha=90.00 beta=90.00 gamma=90.00
Last column: nearest neighbours and their distance in Å.
Fractional positions:
Zn  0.0000  0.0000  0.0000  4 N 1.87
Ni  0.5000  0.5000  0.5000  4 Se 2.64
Se  0.0000  0.0000  0.5000  4 Ni 2.64, 2 Zn 2.87
N  0.0000  0.5000  0.0000  2 Zn 1.87
N  0.5000  0.0000  0.0000  2 Zn 1.87

No. 3
A relaxed structure of Si2NiN2. Source: Alexandria, functional PBE.

Calculated values
Mass density = 4.4 g cm⁻³
Calculated volume = 54.0 Å³/cell
Energy relative to the lowest polymorph listed for this composition = 142 meV per atom
DFT total energy = -32.1 eV per cell
E_form (uncorrected) = 0.227 eV per atom
Magnetic moment = 0.00 μB/f.u.
Crystal system = tetragonal
Space-group type = I4/mmm, No. 139

Unit cell a=4.5560 b=4.5560 c=4.5560 alpha=130.15 beta=130.15 gamma=73.17
Last column: nearest neighbours and their distance in Å.
Fractional positions:
Si  0.2500  0.7500  0.5000  4 N 1.92
Si  0.7500  0.2500  0.5000  4 N 1.92
Ni  0.0000  0.0000  0.0000  2 N 1.90
N  0.2602  0.2602  0.0000  1 Ni 1.90, 4 Si 1.92
N  0.7398  0.7398  0.0000  1 Ni 1.90, 4 Si 1.92